Entry 1:
40
Lattice="4.813 0.000 0.000 0.000 6.395 0.000 -0.008 0.000 14.969" Properties=species:S:1:pos:R:3 comment="SiP2O7 PBE optimized geometry" magnetic_moment_mub_per_atom=0.00 dft_energy_ev_per_atom=-7.386 e_above_lowest_polymorph_ev_per_atom=0.000 raw_formation_energy_ev_per_fu=-22.91 n_ef_per_ev_cell=0.000 pbc="T T T"
Si 1.204 0.544 2.021
Si 1.200 2.653 9.506
Si 3.605 3.742 5.463
Si 3.600 5.851 12.948
P 1.212 1.210 13.878
P 1.216 1.988 6.394
P 1.247 3.857 12.443
P 1.251 5.737 4.958
P 3.553 0.659 10.011
P 3.557 2.539 2.526
P 3.589 4.407 8.576
P 3.593 5.186 1.091
O 0.211 4.770 5.483
O 0.207 4.824 12.968
O 0.225 4.033 8.878
O 0.229 5.561 1.394
O 0.817 0.067 3.696
O 0.813 3.130 11.181
O 1.359 0.420 6.140
O 1.355 2.778 13.625
O 1.599 1.076 0.372
O 1.594 2.122 7.856
O 2.178 1.297 10.144
O 2.182 1.900 2.659
O 2.197 0.521 12.940
O 2.201 2.677 5.456
O 2.603 3.718 9.513
O 2.607 5.875 2.029
O 2.623 4.495 12.310
O 2.627 5.098 4.825
O 3.210 4.274 7.113
O 3.206 5.320 14.597
O 3.450 3.618 1.344
O 3.446 5.976 8.829
O 3.991 3.265 3.788
O 3.987 6.328 11.273
O 4.575 0.835 13.575
O 4.579 2.363 6.091
O 4.597 1.572 2.001
O 4.593 1.626 9.486



Entry 2:
5
Lattice="4.092 0.000 0.000 0.000 4.092 0.000 0.000 0.000 4.338" Properties=species:S:1:pos:R:3 comment="MnNb2SnH PBE optimized geometry" magnetic_moment_mub_per_atom=0.53 dft_energy_ev_per_atom=-7.458 n_ef_per_ev_cell=2.606 pbc="T T T"
Mn 0.000 0.000 0.000
Nb 0.000 2.046 2.169
Nb 2.046 0.000 2.169
Sn 2.046 2.046 0.000
H 0.000 0.000 2.169



Entry 3:
10
Lattice="4.218 0.000 0.000 0.000 4.218 0.000 0.000 0.000 9.776" Properties=species:S:1:pos:R:3 comment="CeSi2TcIr PBE optimized geometry" magnetic_moment_mub_per_atom=0.12 dft_energy_ev_per_atom=-8.079 raw_formation_energy_ev_per_fu=-4.39 n_ef_per_ev_cell=11.544 pbc="T T T"
Ce 0.000 0.000 0.000
Ce 2.109 2.109 4.888
Si 0.000 0.000 3.625
Si 0.000 0.000 6.151
Si 2.109 2.109 1.263
Si 2.109 2.109 8.513
Tc 0.000 2.109 2.444
Tc 2.109 0.000 7.332
Ir 0.000 2.109 7.332
Ir 2.109 0.000 2.444